[1]
Computed, not measured: a relaxed structure of Zr2Pd4Au3 at the PBE level of DFT.

Summary:
DFT formation energy = -0.63 eV/atom
Final energy = -5.927 eV per atom
Energy above the most stable polymorph in this dataset = 0 meV per atom
Total moment = 0.00 μB per cell
Crystal system = monoclinic

Cell: 4.083 4.996 8.751 Å, 74.24 89.99 65.95°
Positions (direct):
Au 0.335 0.330 0.442
Zr 0.331 0.338 0.778
Zr 0.669 0.662 0.222
Au 0.000 0.000 0.000
Au 0.665 0.670 0.558
Pd 0.001 0.997 0.327
Pd 0.999 0.003 0.673
Pd 0.333 0.333 0.108
Pd 0.667 0.667 0.892


[2]
Computed, not measured: a relaxed structure of La2TlCu at the PBE level of DFT.

Summary:
DFT formation energy = 0.10 eV/atom
Final energy = -3.978 eV per atom
Total moment = 0.06 μB per cell
Crystal system = cubic

Cell: 5.283 5.283 5.283 Å, 60.00 60.00 60.00°
Positions (direct):
La 0.750 0.750 0.750
Cu 0.500 0.500 0.500
Tl 0.250 0.250 0.250
La 0.000 0.000 0.000


[3]
Computed, not measured: a relaxed structure of TaIn2Mo at the PBE level of DFT.

Summary:
DFT formation energy = 0.34 eV/atom
Final energy = -6.702 eV per atom
Energy above the most stable polymorph in this dataset = 147 meV per atom
Total moment = 0.00 μB per cell
Crystal system = monoclinic

Cell: 4.648 2.927 5.779 Å, 76.05 90.00 90.00°
Positions (direct):
In 0.000 0.036 0.004
Ta 0.500 0.750 0.750
Mo 0.500 0.250 0.250
In 0.000 0.464 0.496


[4]
Computed, not measured: a relaxed structure of KCo2Cu at the PBE level of DFT.

Summary:
DFT formation energy = 1.02 eV/atom
Final energy = -3.828 eV per atom
Energy above the most stable polymorph in this dataset = 495 meV per atom
Total moment = 3.19 μB per cell
Crystal system = monoclinic

Cell: 5.027 5.599 2.567 Å, 79.60 83.77 115.09°
Last column: magnetic moment on the atom in μB.
Positions (direct):
Co 0.500 0.000 0.500  1.73
Co 0.000 0.000 0.000  1.73
Cu 0.000 0.500 0.500  0.00
K 0.500 0.500 0.000  -0.04